[1]
Here is a relaxed Y2NiBr crystal from Alexandria via LeMat-Bulk. Energies are from PBEsol.

The calculation puts the raw total energy at -6.2395 eV per atom. The value obtained for the uncorrected formation energy is -0.82 eV per atom. As for the total moment: 0.000 μB/f.u.

The space group is R-3m (No. 166, hexagonal axes) and the conventional cell measures 3.8631, 3.8631 and 22.0593 Å, with angles of 90.00, 90.00 and 120.00 degrees. The asymmetric unit holds Y at (0.0000, 0.0000, 0.2326), Ni at (0.0000, 0.0000, 0.5000) and Br at (0.0000, 0.0000, 0.0000).

[2]
Here is a relaxed HgPRh2 crystal from Alexandria via LeMat-Bulk. Energies are from PBEsol.

As for the calculated formation energy: 1.1 eV/f.u. The calculation puts the raw total energy at -5.3791 eV per atom. As for the total moment: 0.006 μB/f.u.

The space group is I-4m2 (No. 119) and the conventional cell measures 3.739, 3.739 and 8.623 Å, with angles of 90.00, 90.00 and 90.00 degrees. The asymmetric unit holds Hg at (0.000, 0.000, 0.000), P at (0.000, 0.500, 0.750), Rh at (0.000, 0.000, 0.500) and Rh at (0.000, 0.500, 0.250).

[3]
Here is a relaxed Li2CuPt crystal from Alexandria via LeMat-Bulk. Energies are from PBEsol.

As for the calculated formation energy: -1.1 eV/f.u. The energy relative to the lowest polymorph listed for this composition comes out at 44 meV per atom. The calculation puts the raw total energy at -4.0930 eV per atom. As for the total moment: 0.000 μB/f.u.

The space group is P2/m (No. 10) and the conventional cell measures 2.685, 4.245 and 4.548 Å, with angles of 90.00, 94.48 and 90.00 degrees. The asymmetric unit holds Li at (0.230, 0.000, 0.242), Cu at (0.000, 0.500, 0.500) and Pt at (0.500, 0.500, 0.000).

Q: The lowest raw total energy belongs to which entry?
A: Y2NiBr